Record 1
Material: Eu2AgHg
Method: DFT, GGA-PBEsol
State: optimized geometry

Summary:
energy of formation	-167	kJ/mol of formula units
volume	26.35	Å³ per atom
size of the total moment	3.5587	μB/atom

Lattice parameters (Å, degrees): 7.499 7.499 7.499 90.00 90.00 90.00
Space group Fm-3m (No. 225)
Symmetry-distinct sites (fractional):
Eu 0.250 0.250 0.250
Ag 0.000 0.000 0.000
Hg 0.000 0.000 0.500



Record 2
Material: EuAgHg2
Method: DFT, GGA-PBEsol
State: optimized geometry

Summary:
energy of formation	-150	kJ/mol of formula units
volume	22.55	Å³ per atom
size of the total moment	1.7775	μB/atom

Lattice parameters (Å, degrees): 7.120 7.120 7.120 90.00 90.00 90.00
Space group Fm-3m (No. 225)
Symmetry-distinct sites (fractional):
Eu 0.000 0.000 0.000
Ag 0.000 0.000 0.500
Hg 0.250 0.250 0.250



Record 3
Material: EuInAg2
Method: DFT, GGA-PBEsol
State: optimized geometry

Summary:
energy of formation	-112	kJ/mol of formula units
volume	21.66	Å³ per atom
size of the total moment	1.7457	μB/atom

Lattice parameters (Å, degrees): 7.025 7.025 7.025 90.00 90.00 90.00
Space group Fm-3m (No. 225)
Symmetry-distinct sites (fractional):
Eu 0.000 0.000 0.000
In 0.000 0.000 0.500
Ag 0.250 0.250 0.250



Record 4
Material: EuMgAg
Method: DFT, GGA-PBEsol
State: optimized geometry

Summary:
energy of formation	-77	kJ/mol of formula units
volume	24.95	Å³ per atom
size of the total moment	2.3970	μB/atom

Lattice parameters (Å, degrees): 7.579 4.497 8.782 90.00 90.00 90.00
Space group Pnma (No. 62)
Symmetry-distinct sites (fractional):
Eu 0.034 0.250 0.177
Mg 0.139 0.250 0.561
Ag 0.232 0.750 0.374



Repeat the first record exactly.
Material: Eu2AgHg
Method: DFT, GGA-PBEsol
State: optimized geometry

Summary:
energy of formation	-167	kJ/mol of formula units
volume	26.35	Å³ per atom
size of the total moment	3.5587	μB/atom

Lattice parameters (Å, degrees): 7.499 7.499 7.499 90.00 90.00 90.00
Space group Fm-3m (No. 225)
Symmetry-distinct sites (fractional):
Eu 0.250 0.250 0.250
Ag 0.000 0.000 0.000
Hg 0.000 0.000 0.500